Compound: SrNiIr2
Source: the Alexandria database
Functional: PBE
Structure: relaxed

* volume: 17.2 Å³ per atom
* formation energy: 0.4597 eV per atom
* energy above the lowest structure with this stoichiometry: 1.04 eV per formula unit
* crystal system: tetragonal
* total DFT energy (no corrections): -5.837 eV/atom

```
data_SrNiIr2
_chemical_formula_sum 'Sr1 Ni1 Ir2'
_symmetry_space_group_name_H-M 'P 1'
_symmetry_Int_Tables_number 1
_cell_length_a 3.981
_cell_length_b 3.981
_cell_length_c 4.346
_cell_angle_alpha 90.00
_cell_angle_beta 90.00
_cell_angle_gamma 90.00
loop_
_symmetry_equiv_pos_as_xyz
'x,y,z'
loop_
_atom_site_label
_atom_site_type_symbol
_atom_site_fract_x
_atom_site_fract_y
_atom_site_fract_z
Sr1 Sr 0.000 0.000 0.000
Ni1 Ni 0.500 0.500 0.000
Ir1 Ir 0.000 0.500 0.500
Ir2 Ir 0.500 0.000 0.500
```